1.
VASP calculation (PBE-GGA) on crystalline Na2PuPb3 at its relaxed geometry.

V = 170.3 Å³/cell
Calculated formation energy = -14.0 kJ/mol of atoms
Space group = P4/mmm

Lattice parameters (Å, degrees): 3.3614 3.3614 15.0738 90.00 90.00 90.00
Closest atoms and distances in Å follow each position.
Atoms (fractional coordinates):
Na 0.0000 0.0000 0.1691  4 Na 3.36, 8 Pb 3.44-3.49
Na 0.0000 0.0000 0.8309  4 Na 3.36, 8 Pb 3.44-3.49
Pu 0.0000 0.0000 0.5000  4 Pu 3.36, 8 Pb 3.45
Pb 0.5000 0.5000 0.0000  4 Pb 3.36, 8 Na 3.49
Pb 0.5000 0.5000 0.3338  4 Pb 3.36, 4 Na 3.44, 4 Pu 3.45
Pb 0.5000 0.5000 0.6662  4 Pb 3.36, 4 Na 3.44, 4 Pu 3.45

2.
VASP calculation (PBE-GGA) on crystalline NaPuPb4 at its relaxed geometry.

V = 193.6 Å³/cell
Calculated formation energy = 4.5 kJ/mol of atoms
Space group = F-43m

Lattice parameters (Å, degrees): 6.4934 6.4934 6.4934 60.00 60.00 60.00
Closest atoms and distances in Å follow each position.
Atoms (fractional coordinates):
Na 0.0000 0.0000 0.0000  12 Pb 3.81, 4 Pu 3.98
Pu 0.7500 0.7500 0.7500  12 Pb 3.81, 4 Na 3.98
Pb 0.3757 0.3757 0.3757  6 Pb 3.23-3.26
Pb 0.3757 0.3757 0.8730  6 Pb 3.23-3.26
Pb 0.3757 0.8730 0.3757  6 Pb 3.23-3.26
Pb 0.8730 0.3757 0.3757  6 Pb 3.23-3.26

3.
VASP calculation (PBE-GGA) on crystalline Na4PuPb15 at its relaxed geometry.

V = 594.6 Å³/cell
Calculated formation energy = -11.3 kJ/mol of atoms
Space group = P4/mmm

Lattice parameters (Å, degrees): 4.9320 4.9320 24.4459 90.00 90.00 90.00
Closest atoms and distances in Å follow each position.
Atoms (fractional coordinates):
Na 0.0000 0.0000 0.1008  12 Pb 3.48-3.49
Na 0.0000 0.0000 0.3038  12 Pb 3.43-3.52
Na 0.0000 0.0000 0.6962  12 Pb 3.43-3.52
Na 0.0000 0.0000 0.8992  12 Pb 3.48-3.49
Pu 0.0000 0.0000 0.5000  12 Pb 3.45-3.49
Pb 0.0000 0.5000 0.0000  8 Pb 3.48-3.49, 4 Na 3.49
Pb 0.0000 0.5000 0.2011  8 Pb 3.46-3.49, 4 Na 3.48-3.52
Pb 0.0000 0.5000 0.4013  2 Na 3.43, 8 Pb 3.45-3.49, 2 Pu 3.45
Pb 0.0000 0.5000 0.5987  2 Na 3.43, 8 Pb 3.45-3.49, 2 Pu 3.45
Pb 0.0000 0.5000 0.7989  8 Pb 3.46-3.49, 4 Na 3.48-3.52
Pb 0.5000 0.0000 0.0000  8 Pb 3.48-3.49, 4 Na 3.49
Pb 0.5000 0.0000 0.2011  8 Pb 3.46-3.49, 4 Na 3.48-3.52
Pb 0.5000 0.0000 0.4013  2 Na 3.43, 8 Pb 3.45-3.49, 2 Pu 3.45
Pb 0.5000 0.0000 0.5987  2 Na 3.43, 8 Pb 3.45-3.49, 2 Pu 3.45
Pb 0.5000 0.0000 0.7989  8 Pb 3.46-3.49, 4 Na 3.48-3.52
Pb 0.5000 0.5000 0.1003  8 Pb 3.48-3.49, 4 Na 3.49
Pb 0.5000 0.5000 0.3003  8 Pb 3.46-3.49, 4 Na 3.49
Pb 0.5000 0.5000 0.5000  8 Pb 3.45, 4 Pu 3.49
Pb 0.5000 0.5000 0.6997  8 Pb 3.46-3.49, 4 Na 3.49
Pb 0.5000 0.5000 0.8997  8 Pb 3.48-3.49, 4 Na 3.49

4.
VASP calculation (PBE-GGA) on crystalline Na4PuPb5 at its relaxed geometry.

V = 284.5 Å³/cell
Calculated formation energy = -13.7 kJ/mol of atoms
Space group = P4/mmm

Lattice parameters (Å, degrees): 3.3663 3.3663 25.1106 90.00 90.00 90.00
Closest atoms and distances in Å follow each position.
Atoms (fractional coordinates):
Na 0.0000 0.0000 0.1007  4 Na 3.37, 8 Pb 3.46-3.47
Na 0.0000 0.0000 0.3026  4 Na 3.37, 8 Pb 3.43-3.49
Na 0.0000 0.0000 0.6974  4 Na 3.37, 8 Pb 3.43-3.49
Na 0.0000 0.0000 0.8993  4 Na 3.37, 8 Pb 3.46-3.47
Pu 0.0000 0.0000 0.5000  4 Pu 3.37, 8 Pb 3.45
Pb 0.5000 0.5000 0.0000  4 Pb 3.37, 8 Na 3.47
Pb 0.5000 0.5000 0.2008  4 Pb 3.37, 8 Na 3.46-3.49
Pb 0.5000 0.5000 0.4008  4 Pb 3.37, 4 Na 3.43, 4 Pu 3.45
Pb 0.5000 0.5000 0.5992  4 Pb 3.37, 4 Na 3.43, 4 Pu 3.45
Pb 0.5000 0.5000 0.7992  4 Pb 3.37, 8 Na 3.46-3.49

5.
VASP calculation (PBE-GGA) on crystalline NaPu3Pb4 at its relaxed geometry.

V = 225.0 Å³/cell
Calculated formation energy = -15.3 kJ/mol of atoms
Space group = P4/mmm

Lattice parameters (Å, degrees): 3.3984 3.3984 19.4792 90.00 90.00 90.00
Closest atoms and distances in Å follow each position.
Atoms (fractional coordinates):
Na 0.0000 0.0000 0.0000  4 Na 3.40, 8 Pb 3.45
Pu 0.0000 0.0000 0.2534  8 Pb 3.39-3.43, 4 Pu 3.40
Pu 0.0000 0.0000 0.5000  4 Pu 3.40, 8 Pb 3.40
Pu 0.0000 0.0000 0.7466  8 Pb 3.39-3.43, 4 Pu 3.40
Pb 0.5000 0.5000 0.1274  4 Pb 3.40, 4 Pu 3.43, 4 Na 3.45
Pb 0.5000 0.5000 0.3763  8 Pu 3.39-3.40, 4 Pb 3.40
Pb 0.5000 0.5000 0.6237  8 Pu 3.39-3.40, 4 Pb 3.40
Pb 0.5000 0.5000 0.8726  4 Pb 3.40, 4 Pu 3.43, 4 Na 3.45

6.
VASP calculation (PBE-GGA) on crystalline Na3PuPb12 at its relaxed geometry.

V = 474.3 Å³/cell
Calculated formation energy = -11.3 kJ/mol of atoms
Space group = P4/mmm

Lattice parameters (Å, degrees): 4.8774 4.8774 19.9383 90.00 90.00 90.00
Closest atoms and distances in Å follow each position.
Atoms (fractional coordinates):
Na 0.0000 0.0000 0.0000  12 Pb 3.45-3.50
Na 0.0000 0.0000 0.2538  12 Pb 3.44-3.53
Na 0.0000 0.0000 0.7462  12 Pb 3.44-3.53
Pu 0.0000 0.0000 0.5000  12 Pb 3.45-3.48
Pb 0.0000 0.5000 0.1259  8 Pb 3.45-3.50, 4 Na 3.50-3.53
Pb 0.0000 0.5000 0.3758  2 Na 3.44, 8 Pb 3.45-3.51, 2 Pu 3.48
Pb 0.0000 0.5000 0.6242  2 Na 3.44, 8 Pb 3.45-3.51, 2 Pu 3.48
Pb 0.0000 0.5000 0.8741  8 Pb 3.45-3.50, 4 Na 3.50-3.53
Pb 0.5000 0.0000 0.1259  8 Pb 3.45-3.50, 4 Na 3.50-3.53
Pb 0.5000 0.0000 0.3758  2 Na 3.44, 8 Pb 3.45-3.51, 2 Pu 3.48
Pb 0.5000 0.0000 0.6242  2 Na 3.44, 8 Pb 3.45-3.51, 2 Pu 3.48
Pb 0.5000 0.0000 0.8741  8 Pb 3.45-3.50, 4 Na 3.50-3.53
Pb 0.5000 0.5000 0.0000  4 Na 3.45, 8 Pb 3.50
Pb 0.5000 0.5000 0.2491  4 Na 3.45, 8 Pb 3.46-3.51
Pb 0.5000 0.5000 0.5000  4 Pu 3.45, 8 Pb 3.48
Pb 0.5000 0.5000 0.7509  4 Na 3.45, 8 Pb 3.46-3.51

7.
VASP calculation (PBE-GGA) on crystalline NaPuRhPb at its relaxed geometry.

V = 86.3 Å³/cell
Calculated formation energy = -4.5 kJ/mol of atoms
Space group = F-43m

Lattice parameters (Å, degrees): 4.9606 4.9606 4.9606 60.00 60.00 60.00
Closest atoms and distances in Å follow each position.
Atoms (fractional coordinates):
Na 0.0000 0.0000 0.0000  4 Pb 3.04, 4 Pu 3.04
Pu 0.7500 0.7500 0.7500  4 Na 3.04, 4 Rh 3.04
Rh 0.5000 0.5000 0.5000  4 Pb 3.04, 4 Pu 3.04
Pb 0.2500 0.2500 0.2500  4 Na 3.04, 4 Rh 3.04

8.
VASP calculation (PBE-GGA) on crystalline NaPuPb2S4 at its relaxed geometry.

V = 200.6 Å³/cell
E_form (uncorrected) = -0.99 eV/atom
Space group = P2/m

Lattice parameters (Å, degrees): 7.0842 4.1406 7.2210 90.00 108.70 90.00
Closest atoms and distances in Å follow each position.
Atoms (fractional coordinates):
Na 0.0000 0.0000 0.0000  6 S 2.87-2.92
Pu 0.5000 0.5000 0.0000  6 S 2.78-2.82
Pb 0.0000 0.5000 0.5000  6 S 3.03-3.07
Pb 0.5000 0.0000 0.5000  6 S 2.95-2.96
S 0.2574 0.5000 0.2358  1 Pu 2.78, 2 Na 2.92, 3 Pb 2.96-3.03
S 0.2678 0.0000 0.7746  2 Pu 2.82, 1 Na 2.87, 3 Pb 2.95-3.07
S 0.7322 0.0000 0.2254  2 Pu 2.82, 1 Na 2.87, 3 Pb 2.95-3.07
S 0.7426 0.5000 0.7642  1 Pu 2.78, 2 Na 2.92, 3 Pb 2.96-3.03

9.
VASP calculation (PBE-GGA) on crystalline Na3Pu2PbS6 at its relaxed geometry.

V = 287.8 Å³/cell
E_form (uncorrected) = -1.31 eV/atom
Space group = C2/m

Lattice parameters (Å, degrees): 7.0878 7.0878 7.0367 99.79 99.79 120.02
Closest atoms and distances in Å follow each position.
Atoms (fractional coordinates):
Na 0.0000 0.0000 0.0000  6 S 2.83-3.04
Na 0.3391 0.6609 0.0000  6 S 2.88-3.06
Na 0.6609 0.3391 0.0000  6 S 2.88-3.06
Pu 0.1671 0.8329 0.5000  6 S 2.73-2.75
Pu 0.8329 0.1671 0.5000  6 S 2.73-2.75
Pb 0.5000 0.5000 0.5000  6 S 2.95-2.96
S 0.0652 0.4229 0.2718  2 Pu 2.73, 3 Na 2.88-3.06, 1 Pb 2.95
S 0.2206 0.2206 0.7315  2 Pu 2.75, 3 Na 2.83-2.97, 1 Pb 2.96
S 0.4229 0.0652 0.2718  2 Pu 2.73, 3 Na 2.88-3.06, 1 Pb 2.95
S 0.5771 0.9348 0.7282  2 Pu 2.73, 3 Na 2.88-3.06, 1 Pb 2.95
S 0.7794 0.7794 0.2685  2 Pu 2.75, 3 Na 2.83-2.97, 1 Pb 2.96
S 0.9348 0.5771 0.7282  2 Pu 2.73, 3 Na 2.88-3.06, 1 Pb 2.95

10.
VASP calculation (PBE-GGA) on crystalline Na2PuPbS4 at its relaxed geometry.

V = 194.8 Å³/cell
E_form (uncorrected) = -1.14 eV/atom
Space group = P2/m

Lattice parameters (Å, degrees): 7.0184 4.0872 7.2094 90.00 109.59 90.00
Closest atoms and distances in Å follow each position.
Atoms (fractional coordinates):
Na 0.0000 0.0000 0.0000  6 S 3.04-3.15
Na 0.0000 0.5000 0.5000  6 S 2.88-2.90
Pu 0.5000 0.0000 0.5000  6 S 2.67-2.75
Pb 0.5000 0.5000 0.0000  6 S 2.93
S 0.2675 0.0000 0.7263  1 Pu 2.67, 2 Na 2.88, 2 Pb 2.93
S 0.2738 0.5000 0.2760  2 Pu 2.75, 3 Na 2.90-3.04, 1 Pb 2.93
S 0.7262 0.5000 0.7240  2 Pu 2.75, 3 Na 2.90-3.04, 1 Pb 2.93
S 0.7325 0.0000 0.2737  1 Pu 2.67, 2 Na 2.88, 2 Pb 2.93